No. 1
A relaxed KBe2Os crystal, computed with GGA-PBE.

Summary:
VASP energy (eV per atom): -4.6298
Total magnetic moment (μB/f.u.): 0.1
Energy of formation from the pure elements (eV per atom): 0.315
E above lowest polymorph (meV/atom): 0

Structure (CIF):
```
data_KBe2Os
_space_group_name_H-M_alt 'P 4/m m m'
_space_group_IT_number 123
_space_group_name_Hall '-P 4 2'
_cell_length_a 3.017
_cell_length_b 3.017
_cell_length_c 7.185
_cell_angle_alpha 90.00
_cell_angle_beta 90.00
_cell_angle_gamma 90.00
loop_
_atom_site_label
_atom_site_fract_x
_atom_site_fract_y
_atom_site_fract_z
K1 0.000 0.000 0.000
Be1 0.500 0.500 0.360
Os1 0.000 0.000 0.500
```

No. 2
A relaxed DySc2S crystal, computed with GGA-PBE.

Summary:
VASP energy (eV per atom): -6.0557
Total magnetic moment (μB/f.u.): 0.2
E above lowest polymorph (meV/atom): 200
Formation energy without anion corrections (eV/atom): -0.7075

Structure (CIF):
```
data_DySc2S
_space_group_name_H-M_alt 'R -3 m'
_space_group_IT_number 166
_space_group_name_Hall '-R 3 2"'
_cell_length_a 3.4849
_cell_length_b 3.4849
_cell_length_c 28.1703
_cell_angle_alpha 90.00
_cell_angle_beta 90.00
_cell_angle_gamma 120.00
loop_
_atom_site_label
_atom_site_fract_x
_atom_site_fract_y
_atom_site_fract_z
Dy1 0.0000 0.0000 0.0000
Sc1 0.0000 0.0000 0.1135
S1 0.0000 0.0000 0.5000
```

No. 3
A relaxed Mn2TcHRh crystal, computed with GGA-PBE.

Summary:
VASP energy (eV per atom): -7.8634
Total magnetic moment (μB/f.u.): 1.7
E above lowest polymorph (meV/atom): 0

Structure (CIF):
```
data_Mn2TcHRh
_space_group_name_H-M_alt 'P 4/m m m'
_space_group_IT_number 123
_space_group_name_Hall '-P 4 2'
_cell_length_a 3.791
_cell_length_b 3.791
_cell_length_c 3.720
_cell_angle_alpha 90.00
_cell_angle_beta 90.00
_cell_angle_gamma 90.00
loop_
_atom_site_label
_atom_site_fract_x
_atom_site_fract_y
_atom_site_fract_z
Mn1 0.000 0.500 0.000
Tc1 0.000 0.000 0.500
H1 0.500 0.500 0.000
Rh1 0.500 0.500 0.500
```

No. 4
A relaxed La2YTc crystal, computed with GGA-PBE.

Summary:
VASP energy (eV per atom): -6.5637
Total magnetic moment (μB/f.u.): 0.0
Energy of formation from the pure elements (eV per atom): 0.107
E above lowest polymorph (meV/atom): 147

Structure (CIF):
```
data_La2YTc
_space_group_name_H-M_alt 'C 1 m 1'
_space_group_IT_number 8
_space_group_name_Hall 'C -2y'
_cell_length_a 12.393
_cell_length_b 3.721
_cell_length_c 5.661
_cell_angle_alpha 90.00
_cell_angle_beta 116.38
_cell_angle_gamma 90.00
loop_
_atom_site_label
_atom_site_fract_x
_atom_site_fract_y
_atom_site_fract_z
La1 0.000 0.000 0.000
La2 0.195 0.000 0.692
Y1 0.386 0.000 0.386
Tc1 0.187 0.500 0.239
```

No. 5
A relaxed TaI3Br crystal, computed with GGA-PBE.

Summary:
VASP energy (eV per atom): -2.1752
Total magnetic moment (μB/f.u.): 3.8
E above lowest polymorph (meV/atom): 1942
Formation energy without anion corrections (eV/atom): 1.4600

Structure (CIF):
```
data_TaI3Br
_space_group_name_H-M_alt 'P m -3 m'
_space_group_IT_number 221
_space_group_name_Hall '-P 4 2 3'
_cell_length_a 5.879
_cell_length_b 5.879
_cell_length_c 5.879
_cell_angle_alpha 90.00
_cell_angle_beta 90.00
_cell_angle_gamma 90.00
loop_
_atom_site_label
_atom_site_fract_x
_atom_site_fract_y
_atom_site_fract_z
Ta1 0.000 0.000 0.000
I1 0.000 0.500 0.500
Br1 0.500 0.500 0.500
```

No. 6
A relaxed SbPIr crystal, computed with GGA-PBE.

Summary:
VASP energy (eV per atom): -6.2760
Total magnetic moment (μB/f.u.): 0.0
E above lowest polymorph (meV/atom): 412
Formation energy without anion corrections (eV/atom): -0.1450

Structure (CIF):
```
data_SbPIr
_space_group_name_H-M_alt 'P 3 m 1'
_space_group_IT_number 156
_space_group_name_Hall 'P 3 -2"'
_cell_length_a 3.7777
_cell_length_b 3.7777
_cell_length_c 5.4935
_cell_angle_alpha 90.00
_cell_angle_beta 90.00
_cell_angle_gamma 120.00
loop_
_atom_site_label
_atom_site_fract_x
_atom_site_fract_y
_atom_site_fract_z
Sb1 0.0000 0.0000 0.0000
P1 0.6667 0.3333 0.4438
Ir1 0.3333 0.6667 0.3186
```

No. 7
A relaxed LaZrSc2 crystal, computed with GGA-PBE.

Summary:
VASP energy (eV per atom): -6.4455
Total magnetic moment (μB/f.u.): 0.0
Energy of formation from the pure elements (eV per atom): 0.089
E above lowest polymorph (meV/atom): 37

Structure (CIF):
```
data_LaZrSc2
_space_group_name_H-M_alt 'C m m m'
_space_group_IT_number 65
_space_group_name_Hall '-C 2 2'
_cell_length_a 6.652
_cell_length_b 9.315
_cell_length_c 3.353
_cell_angle_alpha 90.00
_cell_angle_beta 90.00
_cell_angle_gamma 90.00
loop_
_atom_site_label
_atom_site_fract_x
_atom_site_fract_y
_atom_site_fract_z
La1 0.000 0.000 0.000
Zr1 0.000 0.500 0.000
Sc1 0.250 0.250 0.500
```

No. 8
A relaxed FeTcCl2 crystal, computed with GGA-PBE.

Summary:
VASP energy (eV per atom): -5.4655
Total magnetic moment (μB/f.u.): 4.5
E above lowest polymorph (meV/atom): 246
Formation energy without anion corrections (eV/atom): 0.1650

Structure (CIF):
```
data_FeTcCl2
_space_group_name_H-M_alt 'C 1 2/m 1'
_space_group_IT_number 12
_space_group_name_Hall '-C 2y'
_cell_length_a 13.878
_cell_length_b 3.037
_cell_length_c 4.263
_cell_angle_alpha 90.00
_cell_angle_beta 96.35
_cell_angle_gamma 90.00
loop_
_atom_site_label
_atom_site_fract_x
_atom_site_fract_y
_atom_site_fract_z
Fe1 0.000 0.000 0.000
Tc1 0.000 0.500 0.500
Cl1 0.134 0.500 0.204
```

No. 9
A relaxed NaTm2Cu crystal, computed with GGA-PBE.

Summary:
VASP energy (eV per atom): -3.5820
Total magnetic moment (μB/f.u.): 0.0
Energy of formation from the pure elements (eV per atom): 0.008
E above lowest polymorph (meV/atom): 0

Structure (CIF):
```
data_NaTm2Cu
_space_group_name_H-M_alt 'P 4/m m m'
_space_group_IT_number 123
_space_group_name_Hall '-P 4 2'
_cell_length_a 3.395
_cell_length_b 3.395
_cell_length_c 9.314
_cell_angle_alpha 90.00
_cell_angle_beta 90.00
_cell_angle_gamma 90.00
loop_
_atom_site_label
_atom_site_fract_x
_atom_site_fract_y
_atom_site_fract_z
Na1 0.000 0.000 0.000
Tm1 0.500 0.500 0.322
Cu1 0.000 0.000 0.500
```

No. 10
A relaxed K3Tb3CrSe8 crystal, computed with GGA-PBE.

Summary:
VASP energy (eV per atom): -5.0725
Total magnetic moment (μB/f.u.): 2.3
Formation energy without anion corrections (eV/atom): -1.4269

Structure (CIF):
```
data_K3Tb3CrSe8
_space_group_name_H-M_alt 'C 1 2/m 1'
_space_group_IT_number 12
_space_group_name_Hall '-C 2y'
_cell_length_a 14.094
_cell_length_b 8.128
_cell_length_c 9.218
_cell_angle_alpha 90.00
_cell_angle_beta 120.68
_cell_angle_gamma 90.00
loop_
_atom_site_label
_atom_site_fract_x
_atom_site_fract_y
_atom_site_fract_z
K1 0.000 0.000 0.000
K2 0.250 0.250 0.000
Tb1 0.000 0.500 0.500
Tb2 0.250 0.250 0.500
Cr1 0.000 0.000 0.500
Se1 0.012 0.228 0.309
Se2 0.216 0.000 0.691
Se3 0.236 0.500 0.708
```

No. 11
A relaxed TmSc3Tl2 crystal, computed with GGA-PBE.

Summary:
VASP energy (eV per atom): -4.9434
Total magnetic moment (μB/f.u.): 0.0
Energy of formation from the pure elements (eV per atom): -0.244
E above lowest polymorph (meV/atom): 0

Structure (CIF):
```
data_TmSc3Tl2
_space_group_name_H-M_alt 'P m c 21'
_space_group_IT_number 26
_space_group_name_Hall 'P 2c -2'
_cell_length_a 4.803
_cell_length_b 9.437
_cell_length_c 6.556
_cell_angle_alpha 90.00
_cell_angle_beta 90.00
_cell_angle_gamma 90.00
loop_
_atom_site_label
_atom_site_fract_x
_atom_site_fract_y
_atom_site_fract_z
Tm1 0.000 0.045 0.000
Sc1 0.000 0.309 0.605
Sc2 0.500 0.201 0.280
Sc3 0.500 0.455 0.886
Tl1 0.000 0.376 0.151
Tl2 0.500 0.131 0.732
```

No. 12
A relaxed RbMg crystal, computed with GGA-PBE.

Summary:
VASP energy (eV per atom): -1.0264
Total magnetic moment (μB/f.u.): 0.0
Energy of formation from the pure elements (eV per atom): 0.255

Structure (CIF):
```
data_RbMg
_space_group_name_H-M_alt 'P m m a'
_space_group_IT_number 51
_space_group_name_Hall '-P 2a 2a'
_cell_length_a 5.624
_cell_length_b 4.306
_cell_length_c 8.581
_cell_angle_alpha 90.00
_cell_angle_beta 90.00
_cell_angle_gamma 90.00
loop_
_atom_site_label
_atom_site_fract_x
_atom_site_fract_y
_atom_site_fract_z
Rb1 0.250 0.000 0.200
Mg1 0.250 0.500 0.582
```